The following is a DFT calculation (PBEsol) of a relaxed Mg2InTe crystal.

raw total energy: -2.71 eV per atom
M_tot: 0.0 μB per formula unit
DOS(E_F): 3.1 states/eV per cell
formation energy (no corrections): -0.898 eV/f.u.

Cell lengths 6.5309, 6.5309, 6.5309 Å; angles 104.90, 104.90, 119.07 degrees
Closest atoms and distances in Å follow each position.
Positions (direct):
In 0.5000 0.5000 0.0000  4 Mg 3.01, 2 Te 3.31
In 0.7500 0.2500 0.5000  4 Mg 3.01, 2 Te 3.31
Mg 0.6250 0.1106 0.9856  2 Te 2.86, 2 In 3.01
Mg 0.8894 0.8750 0.5144  2 Te 2.86, 2 In 3.01
Mg 0.3606 0.3750 0.4856  2 Te 2.86, 2 In 3.01
Mg 0.1250 0.6394 0.0144  2 Te 2.86, 2 In 3.01
Te 0.0000 0.0000 0.0000  4 Mg 2.86
Te 0.2500 0.7500 0.5000  4 Mg 2.86